Entry 1:
# BaY2Cd, relaxed, DFT PBE-GGA
# Crystal system   monoclinic
# VASP energy   -0.2798 Ry/atom
# Formation energy   52 kJ/mol of formula units
# Magnetization   0.000 Bohr magnetons per cell
data_BaY2Cd
_chemical_formula_sum 'Ba2 Y4 Cd2'
_space_group_name_H-M_alt 'C 1 2/m 1'
_space_group_IT_number 12
_cell_length_a 7.074
_cell_length_b 12.336
_cell_length_c 3.574
_cell_angle_alpha 90.00
_cell_angle_beta 118.36
_cell_angle_gamma 90.00
loop_
_space_group_symop_operation_xyz
'x,y,z'
'-x,-y,-z'
'-x,y,-z'
'x,-y,z'
'x+1/2,y+1/2,z'
'-x+1/2,-y+1/2,-z'
'-x+1/2,y+1/2,-z'
'x+1/2,-y+1/2,z'
loop_
_atom_site_label
_atom_site_fract_x
_atom_site_fract_y
_atom_site_fract_z
Ba1 0.000 0.000 0.000
Y1 0.250 0.250 0.500
Cd1 0.000 0.500 0.000

***

Entry 2:
# KAsO3, relaxed, DFT PBE-GGA
# Crystal system   triclinic
# VASP energy   -0.4151 Ry/atom
# ΔE_f (raw)   -7.6 eV per formula unit
# Magnetization   0.279 Bohr magnetons per cell
data_KAsO3
_chemical_formula_sum 'K6 As6 O18'
_space_group_name_H-M_alt 'P -1'
_space_group_IT_number 2
_cell_length_a 7.702
_cell_length_b 7.706
_cell_length_c 10.570
_cell_angle_alpha 85.06
_cell_angle_beta 68.66
_cell_angle_gamma 73.87
loop_
_space_group_symop_operation_xyz
'x,y,z'
'-x,-y,-z'
loop_
_atom_site_label
_atom_site_fract_x
_atom_site_fract_y
_atom_site_fract_z
K1 0.094 0.396 0.160
K2 0.242 0.267 0.501
K3 0.271 0.948 0.834
As1 0.173 0.860 0.203
As2 0.272 0.768 0.472
As3 0.474 0.475 0.798
O1 0.004 0.747 0.242
O2 0.115 0.644 0.541
O3 0.151 0.040 0.104
O4 0.198 0.931 0.353
O5 0.239 0.532 0.892
O6 0.335 0.885 0.566
O7 0.406 0.366 0.239
O8 0.414 0.716 0.119
O9 0.499 0.367 0.643

***

Entry 3:
# CoSiIrRu, relaxed, DFT PBE-GGA
# Crystal system   cubic
# VASP energy   -0.5826 Ry/atom
# ΔE_f (raw)   -1.0 eV per formula unit
# Magnetization   10.805 Bohr magnetons per cell
data_CoSiIrRu
_chemical_formula_sum 'Co4 Si4 Ir4 Ru4'
_space_group_name_H-M_alt 'F -4 3 m'
_space_group_IT_number 216
_space_group_name_Hall 'F -4 2 3'
_cell_length_a 5.904
_cell_length_b 5.904
_cell_length_c 5.904
_cell_angle_alpha 90.00
_cell_angle_beta 90.00
_cell_angle_gamma 90.00
loop_
_atom_site_label
_atom_site_fract_x
_atom_site_fract_y
_atom_site_fract_z
Co1 0.000 0.000 0.000
Si1 0.000 0.000 0.500
Ir1 0.250 0.250 0.250
Ru1 0.250 0.250 0.750

***

Entry 4:
# Ti5Nb2W2, relaxed, DFT PBE-GGA
# Crystal system   monoclinic
# VASP energy   -0.6975 Ry/atom
# Formation energy   11 kJ/mol of formula units
# Magnetization   0.000 Bohr magnetons per cell
data_Ti5Nb2W2
_chemical_formula_sum 'Ti10 Nb4 W4'
_space_group_name_H-M_alt 'C 1 2/m 1'
_space_group_IT_number 12
_cell_length_a 9.720
_cell_length_b 4.583
_cell_length_c 7.040
_cell_angle_alpha 90.00
_cell_angle_beta 102.46
_cell_angle_gamma 90.00
loop_
_space_group_symop_operation_xyz
'x,y,z'
'-x,-y,-z'
'-x,y,-z'
'x,-y,z'
'x+1/2,y+1/2,z'
'-x+1/2,-y+1/2,-z'
'-x+1/2,y+1/2,-z'
'x+1/2,-y+1/2,z'
loop_
_atom_site_label
_atom_site_fract_x
_atom_site_fract_y
_atom_site_fract_z
Ti1 0.000 0.000 0.000
Ti2 0.069 0.500 0.336
Ti3 0.121 0.000 0.658
Nb1 0.171 0.500 0.988
W1 0.221 0.000 0.331

***

Entry 5:
# NiBrN3, relaxed, DFT PBE-GGA
# Crystal system   cubic
# VASP energy   -0.3232 Ry/atom
# ΔE_f (raw)   10.4 eV per formula unit
# Magnetization   3.791 Bohr magnetons per cell
data_NiBrN3
_chemical_formula_sum 'Ni1 Br1 N3'
_space_group_name_H-M_alt 'P m -3 m'
_space_group_IT_number 221
_space_group_name_Hall '-P 4 2 3'
_cell_length_a 3.821
_cell_length_b 3.821
_cell_length_c 3.821
_cell_angle_alpha 90.00
_cell_angle_beta 90.00
_cell_angle_gamma 90.00
loop_
_atom_site_label
_atom_site_fract_x
_atom_site_fract_y
_atom_site_fract_z
Ni1 0.000 0.000 0.000
Br1 0.500 0.500 0.500
N1 0.000 0.000 0.500

***

Entry 6:
# LuPuAgOs, relaxed, DFT PBE-GGA
# Crystal system   cubic
# VASP energy   -0.6114 Ry/atom
# Formation energy   -33 kJ/mol of formula units
# Magnetization   21.957 Bohr magnetons per cell
data_LuPuAgOs
_chemical_formula_sum 'Lu4 Pu4 Ag4 Os4'
_space_group_name_H-M_alt 'F -4 3 m'
_space_group_IT_number 216
_space_group_name_Hall 'F -4 2 3'
_cell_length_a 6.938
_cell_length_b 6.938
_cell_length_c 6.938
_cell_angle_alpha 90.00
_cell_angle_beta 90.00
_cell_angle_gamma 90.00
loop_
_atom_site_label
_atom_site_fract_x
_atom_site_fract_y
_atom_site_fract_z
Lu1 0.000 0.000 0.000
Pu1 0.000 0.000 0.500
Ag1 0.250 0.250 0.750
Os1 0.250 0.250 0.250

***

Entry 7:
# Li6Hg2Ge, relaxed, DFT PBE-GGA
# Crystal system   monoclinic
# VASP energy   -0.1603 Ry/atom
# Excess energy over the best structure of this formula in the dataset   0 meV/atom
# Formation energy   -283 kJ/mol of formula units
# Magnetization   0.000 Bohr magnetons per cell
data_Li6Hg2Ge
_chemical_formula_sum 'Li12 Hg4 Ge2'
_space_group_name_H-M_alt 'C 1 2/m 1'
_space_group_IT_number 12
_cell_length_a 7.906
_cell_length_b 4.569
_cell_length_c 8.509
_cell_angle_alpha 90.00
_cell_angle_beta 90.12
_cell_angle_gamma 90.00
loop_
_space_group_symop_operation_xyz
'x,y,z'
'-x,-y,-z'
'-x,y,-z'
'x,-y,z'
'x+1/2,y+1/2,z'
'-x+1/2,-y+1/2,-z'
'-x+1/2,y+1/2,-z'
'x+1/2,-y+1/2,z'
loop_
_atom_site_label
_atom_site_fract_x
_atom_site_fract_y
_atom_site_fract_z
Li1 0.000 0.000 0.184
Li2 0.166 0.500 0.595
Li3 0.168 0.500 0.295
Hg1 0.167 0.500 0.919
Ge1 0.000 0.000 0.500

***

Entry 8:
# MgH2Pd, relaxed, DFT PBE-GGA
# Crystal system   orthorhombic
# VASP energy   -0.2677 Ry/atom
# Magnetization   0.000 Bohr magnetons per cell
data_MgH2Pd
_chemical_formula_sum 'Mg4 H8 Pd4'
_space_group_name_H-M_alt 'C m c m'
_space_group_IT_number 63
_space_group_name_Hall '-C 2c 2'
_cell_length_a 3.247
_cell_length_b 11.173
_cell_length_c 4.546
_cell_angle_alpha 90.00
_cell_angle_beta 90.00
_cell_angle_gamma 90.00
loop_
_atom_site_label
_atom_site_fract_x
_atom_site_fract_y
_atom_site_fract_z
Mg1 0.000 0.132 0.250
H1 0.000 0.313 0.007
Pd1 0.000 0.424 0.250

***

Entry 9:
# LaNiGePb2, relaxed, DFT PBE-GGA
# Crystal system   tetragonal
# VASP energy   -0.2387 Ry/atom
# Formation energy   628 kJ/mol of formula units
# Magnetization   0.017 Bohr magnetons per cell
data_LaNiGePb2
_chemical_formula_sum 'La1 Ni1 Ge1 Pb2'
_space_group_name_H-M_alt 'P 4/m m m'
_space_group_IT_number 123
_space_group_name_Hall '-P 4 2'
_cell_length_a 6.068
_cell_length_b 6.068
_cell_length_c 5.498
_cell_angle_alpha 90.00
_cell_angle_beta 90.00
_cell_angle_gamma 90.00
loop_
_atom_site_label
_atom_site_fract_x
_atom_site_fract_y
_atom_site_fract_z
La1 0.000 0.000 0.000
Ni1 0.500 0.500 0.500
Ge1 0.000 0.000 0.500
Pb1 0.000 0.500 0.000

***

Entry 10:
# ScTl2, relaxed, DFT PBE-GGA
# Crystal system   monoclinic
# VASP energy   -0.2756 Ry/atom
# Formation energy   -18 kJ/mol of formula units
# Magnetization   0.000 Bohr magnetons per cell
data_ScTl2
_chemical_formula_sum 'Sc4 Tl8'
_space_group_name_H-M_alt 'C 1 2/m 1'
_space_group_IT_number 12
_cell_length_a 11.723
_cell_length_b 3.455
_cell_length_c 8.261
_cell_angle_alpha 90.00
_cell_angle_beta 109.02
_cell_angle_gamma 90.00
loop_
_space_group_symop_operation_xyz
'x,y,z'
'-x,-y,-z'
'-x,y,-z'
'x,-y,z'
'x+1/2,y+1/2,z'
'-x+1/2,-y+1/2,-z'
'-x+1/2,y+1/2,-z'
'x+1/2,-y+1/2,z'
loop_
_atom_site_label
_atom_site_fract_x
_atom_site_fract_y
_atom_site_fract_z
Sc1 0.122 0.000 0.360
Tl1 0.119 0.500 0.666
Tl2 0.145 0.500 0.056

***

Entry 11:
# Pr2NdAg, relaxed, DFT PBE-GGA
# Crystal system   tetragonal
# VASP energy   -0.3231 Ry/atom
# Excess energy over the best structure of this formula in the dataset   0 meV/atom
# Formation energy   -39 kJ/mol of formula units
# Magnetization   0.001 Bohr magnetons per cell
data_Pr2NdAg
_chemical_formula_sum 'Pr2 Nd1 Ag1'
_space_group_name_H-M_alt 'P 4/m m m'
_space_group_IT_number 123
_space_group_name_Hall '-P 4 2'
_cell_length_a 3.759
_cell_length_b 3.759
_cell_length_c 8.909
_cell_angle_alpha 90.00
_cell_angle_beta 90.00
_cell_angle_gamma 90.00
loop_
_atom_site_label
_atom_site_fract_x
_atom_site_fract_y
_atom_site_fract_z
Pr1 0.000 0.000 0.215
Nd1 0.500 0.500 0.500
Ag1 0.500 0.500 0.000

***

Entry 12:
# NaCaV, relaxed, DFT PBE-GGA
# Crystal system   orthorhombic
# VASP energy   -0.2424 Ry/atom
# Excess energy over the best structure of this formula in the dataset   575 meV/atom
# Formation energy   246 kJ/mol of formula units
# Magnetization   17.648 Bohr magnetons per cell
data_NaCaV
_chemical_formula_sum 'Na4 Ca4 V4'
_space_group_name_H-M_alt 'C m c m'
_space_group_IT_number 63
_space_group_name_Hall '-C 2c 2'
_cell_length_a 5.366
_cell_length_b 9.335
_cell_length_c 7.021
_cell_angle_alpha 90.00
_cell_angle_beta 90.00
_cell_angle_gamma 90.00
loop_
_atom_site_label
_atom_site_fract_x
_atom_site_fract_y
_atom_site_fract_z
Na1 0.000 0.168 0.250
Ca1 0.000 0.500 0.000
V1 0.000 0.165 0.750